(1)
## CsBi3Au3 (PBE)

Data for a relaxed CsBi3Au3 crystal.

a = 8.2829 Å, b = 8.2829 Å, c = 10.1970 Å
α = 66.04°, β = 66.04°, γ = 60.00°
Last column: nearest neighbours and their distance in Å.
Fractional coordinates of all 14 atoms:
Au1 0.4948 0.8956 0.3385  4 Bi 2.76-2.93
Au2 0.2711 0.4948 0.3385  4 Bi 2.76-2.93
Au3 0.7289 0.5052 0.6615  4 Bi 2.76-2.93
Au4 0.8956 0.2711 0.3385  4 Bi 2.76-2.93
Au5 0.1044 0.7289 0.6615  4 Bi 2.76-2.93
Au6 0.5052 0.1044 0.6615  4 Bi 2.76-2.93
Bi1 0.1691 0.8817 0.3382  4 Au 2.76-2.93
Bi2 0.6110 0.1691 0.3382  4 Au 2.76-2.93
Bi3 0.8309 0.1183 0.6618  4 Au 2.76-2.93
Bi4 0.8817 0.6110 0.3382  4 Au 2.76-2.93
Bi5 0.3890 0.8309 0.6618  4 Au 2.76-2.93
Bi6 0.1183 0.3890 0.6618  4 Au 2.76-2.93
Cs1 0.3333 0.3333 0.0000  6 Au 3.95-4.02, 6 Bi 4.26-4.31
Cs2 0.6667 0.6667 0.0000  6 Au 3.95-4.02, 6 Bi 4.26-4.31

Output
- DFT total energy: -45.3 eV for the cell shown
- Space group: R-3 (148)
- Energy relative to the elements: -0.0464 eV/atom


(2)
## BeSi2Ir (PBE)

Data for a relaxed BeSi2Ir crystal.

a = 4.4689 Å, b = 4.4689 Å, c = 4.4689 Å
α = 133.03°, β = 128.99°, γ = 71.85°
Last column: nearest neighbours and their distance in Å.
Fractional coordinates of all 4 atoms:
Si1 0.9955 0.9955 0.0000  4 Si 2.53-2.65, 4 Ir 2.57-2.61, 4 Be 2.62
Si2 0.7468 0.2468 0.5000  4 Be 2.49-2.69, 4 Si 2.53-2.65, 4 Ir 2.62
Ir1 0.2519 0.7519 0.5000  4 Be 2.56-2.62, 8 Si 2.57-2.62
Be1 0.5058 0.5058 0.0000  8 Si 2.49-2.69, 4 Ir 2.56-2.62

Output
- DFT total energy: -23.5 eV for the cell shown
- E_form (uncorrected): -0.073 eV/f.u.
- Space group: Imm2 (44)


(3)
## K2UCu2Te6 (PBE)

Data for a relaxed K2UCu2Te6 crystal.

a = 6.5874 Å, b = 8.1019 Å, c = 9.5837 Å
α = 117.67°, β = 90.00°, γ = 113.99°
Last column: nearest neighbours and their distance in Å.
Fractional coordinates of all 11 atoms:
Te1 0.7189 0.4379 0.6012  1 Cu 2.46
Te2 0.8076 0.1172 0.8021  1 Cu 2.53
Te3 0.6904 0.8828 0.1979  1 Cu 2.53
Te4 0.3096 0.1172 0.8021  1 Cu 2.53
Te5 0.2811 0.5621 0.3988  1 Cu 2.46
Te6 0.1924 0.8828 0.1979  1 Cu 2.53
U1 0.5000 0.0000 0.5000  6 Te 2.87-3.04
K1 0.7017 0.4034 0.2081  7 Te 3.64-3.96, 2 Cu 3.93
K2 0.2983 0.5966 0.7919  7 Te 3.64-3.96, 2 Cu 3.93
Cu1 0.9096 0.8191 0.7102  3 Te 2.46-2.53
Cu2 0.0904 0.1809 0.2898  3 Te 2.46-2.53

Output
- DFT total energy: -45.0 eV for the cell shown
- E_form (uncorrected): -4.519 eV/f.u.
- Space group: C2/m (12)


(4)
## Cs3Pm3SiO8 (PBE)

Data for a relaxed Cs3Pm3SiO8 crystal.

a = 6.9392 Å, b = 6.9401 Å, c = 8.0421 Å
α = 115.59°, β = 90.00°, γ = 120.00°
Last column: nearest neighbours and their distance in Å.
Fractional coordinates of all 15 atoms:
Pm1 0.5000 0.5000 0.5000  6 O 2.32-2.43
Pm2 0.0000 0.5000 0.5000  6 O 2.32-2.43
Pm3 0.5000 0.0000 0.5000  6 O 2.32-2.43
O1 0.8147 0.6294 0.3533  1 Si 1.93
O2 0.1853 0.3706 0.6467  1 Si 1.93
O3 0.2777 0.5554 0.3332  3 Pm 2.32
O4 0.7223 0.4446 0.6668  3 Pm 2.32
O5 0.2237 0.0384 0.3533  1 Si 1.93
O6 0.1852 0.9616 0.6467  1 Si 1.93
O7 0.7763 0.9616 0.6467  1 Si 1.93
O8 0.8148 0.0384 0.3533  1 Si 1.93
Si1 0.0000 0.0000 0.5000  6 O 1.93
Cs1 0.5000 0.5000 0.0000  6 O 3.07-3.08
Cs2 0.0000 0.0000 0.0000  6 O 3.07-3.08
Cs3 0.0000 0.5000 0.0000  6 O 3.07-3.08

Output
- DFT total energy: -98.0 eV for the cell shown
- E_form (uncorrected): -36.129 eV/f.u.
- Space group: R-3m (166)


(5)
## HfRhSe2N (PBE)

Data for a relaxed HfRhSe2N crystal.

a = 5.2133 Å, b = 5.2133 Å, c = 3.9227 Å
α = 90.00°, β = 90.00°, γ = 90.00°
Last column: nearest neighbours and their distance in Å.
Fractional coordinates of all 5 atoms:
Hf1 0.0000 0.0000 0.0000  2 N 1.96
N1 0.0000 0.0000 0.5000  2 Hf 1.96
Se1 0.5000 0.0000 0.0000  2 Hf 2.61
Se2 0.0000 0.5000 0.0000  2 Hf 2.61
Rh1 0.5000 0.5000 0.5000  8 Se 3.26

Output
- DFT total energy: -30.8 eV for the cell shown
- E_form (uncorrected): 1.765 eV/f.u.
- Space group: P4/mmm (123)


(6)
## Cs8HgCl2 (PBE)

Data for a relaxed Cs8HgCl2 crystal.

a = 7.4241 Å, b = 10.8609 Å, c = 10.8609 Å
α = 74.80°, β = 89.44°, γ = 89.44°
Last column: nearest neighbours and their distance in Å.
Fractional coordinates of all 11 atoms:
Cs1 0.2468 0.6641 0.1217  1 Cl 3.58, 1 Hg 3.98
Cs2 0.2637 0.1927 0.1927  1 Cl 3.59, 1 Hg 3.88
Cs3 0.7363 0.8073 0.8073  1 Cl 3.59, 1 Hg 3.88
Cs4 0.7532 0.3359 0.8783  1 Cl 3.58, 1 Hg 3.98
Cs5 0.2468 0.1217 0.6641  1 Cl 3.58, 1 Hg 3.98
Cs6 0.7525 0.3984 0.3984  3 Cl 3.47-3.73
Cs7 0.7532 0.8783 0.3359  1 Cl 3.58, 1 Hg 3.98
Cs8 0.2475 0.6016 0.6016  3 Cl 3.47-3.73
Hg1 0.0000 0.0000 0.0000  6 Cs 3.88-3.98
Cl1 0.2499 0.4007 0.4007  6 Cs 3.47-3.73
Cl2 0.7501 0.5993 0.5993  6 Cs 3.47-3.73

Output
- DFT total energy: -18.6 eV for the cell shown
- E_form (uncorrected): -7.788 eV/f.u.
- Space group: C2/m (12)


(7)
## LaTbP (PBE)

Data for a relaxed LaTbP crystal.

a = 5.8033 Å, b = 6.6025 Å, c = 6.6025 Å
α = 127.38°, β = 90.00°, γ = 90.00°
Last column: nearest neighbours and their distance in Å.
Fractional coordinates of all 6 atoms:
P1 0.7500 0.7977 0.2023  2 Tb 2.80, 4 La 2.93-3.11
P2 0.2500 0.2023 0.7977  2 Tb 2.80, 4 La 2.93-3.11
La1 0.7500 0.2976 0.7024  4 P 2.93-3.11
La2 0.2500 0.7024 0.2976  4 P 2.93-3.11
Tb1 0.5000 0.0000 0.0000  2 P 2.80, 2 Tb 2.90
Tb2 0.0000 0.0000 0.0000  2 P 2.80, 2 Tb 2.90

Output
- DFT total energy: -33.2 eV for the cell shown
- Space group: Cmcm (63)
- Energy relative to the elements: -0.5500 eV/atom


(8)
## K2ZrP2O8 (PBE)

Data for a relaxed K2ZrP2O8 crystal.

a = 5.2825 Å, b = 5.2825 Å, c = 9.0793 Å
α = 90.00°, β = 90.00°, γ = 120.00°
Last column: nearest neighbours and their distance in Å.
Fractional coordinates of all 13 atoms:
K1 0.3333 0.6667 0.6522  4 O 2.63-2.93
K2 0.6667 0.3333 0.3478  4 O 2.63-2.93
P1 0.6667 0.3333 0.8048  4 O 1.52-1.56
P2 0.3333 0.6667 0.1952  4 O 1.52-1.56
O1 0.7370 0.0983 0.8645  1 P 1.56
O2 0.3333 0.6667 0.3628  1 P 1.52
O3 0.3613 0.2630 0.8645  1 P 1.56
O4 0.2630 0.9017 0.1355  1 P 1.56
O5 0.0983 0.3613 0.1355  1 P 1.56
O6 0.6387 0.7370 0.1355  1 P 1.56
O7 0.9017 0.6387 0.8645  1 P 1.56
O8 0.6667 0.3333 0.6372  1 P 1.52
Zr1 0.0000 0.0000 0.0000  6 O 2.11

Output
- DFT total energy: -94.9 eV for the cell shown
- E_form (uncorrected): -33.659 eV/f.u.
- Space group: P-3 (147)


(9)
## Rb3HoBr8 (PBE)

Data for a relaxed Rb3HoBr8 crystal.

a = 7.7764 Å, b = 7.7764 Å, c = 9.6671 Å
α = 113.72°, β = 113.72°, γ = 90.00°
Last column: nearest neighbours and their distance in Å.
Fractional coordinates of all 12 atoms:
Br1 0.6724 0.6724 0.7818  1 Ho 2.96
Br2 0.8906 0.8906 0.2182  1 Ho 2.96
Br3 0.8906 0.3276 0.2182  1 Ho 2.96
Br4 0.1094 0.1094 0.7818  1 Ho 2.96
Br5 0.3276 0.8906 0.2182  1 Ho 2.96
Br6 0.3276 0.3276 0.2182  1 Ho 2.96
Br7 0.6724 0.1094 0.7818  1 Ho 2.96
Br8 0.1094 0.6724 0.7818  1 Ho 2.96
Rb1 0.2500 0.7500 0.5000  8 Br 3.56
Rb2 0.7500 0.2500 0.5000  8 Br 3.56
Rb3 0.5000 0.5000 0.0000  8 Br 3.55
Ho1 0.0000 0.0000 0.0000  8 Br 2.96

Output
- DFT total energy: -37.0 eV for the cell shown
- E_form (uncorrected): -16.177 eV/f.u.
- Space group: I4/mmm (139)


(10)
## Zr2ZnCu (PBE)

Data for a relaxed Zr2ZnCu crystal.

a = 9.5745 Å, b = 9.5745 Å, c = 9.5745 Å
α = 18.32°, β = 18.32°, γ = 18.32°
Last column: nearest neighbours and their distance in Å.
Fractional coordinates of all 4 atoms:
Zr1 0.5037 0.5037 0.5037  3 Cu 2.85, 3 Zn 3.02, 6 Zr 3.05
Zr2 0.9963 0.9963 0.9963  3 Cu 2.85, 3 Zn 3.02, 6 Zr 3.05
Cu1 0.2500 0.2500 0.2500  6 Zr 2.85, 6 Cu 3.05
Zn1 0.7500 0.7500 0.7500  6 Zr 3.02, 6 Zn 3.05

Output
- DFT total energy: -22.2 eV for the cell shown
- Space group: R-3m (166)
- Energy relative to the elements: 0.0690 eV/atom


(11)
## Ho2LuPb (PBE)

Data for a relaxed Ho2LuPb crystal.

a = 4.8399 Å, b = 4.8022 Å, c = 4.8022 Å
α = 90.00°, β = 90.00°, γ = 90.00°
Last column: nearest neighbours and their distance in Å.
Fractional coordinates of all 4 atoms:
Ho1 0.0000 0.0000 0.5000  4 Ho 3.40, 4 Pb 3.41, 4 Lu 3.41
Ho2 0.0000 0.5000 0.0000  4 Ho 3.40, 4 Pb 3.41, 4 Lu 3.41
Pb1 0.5000 0.5000 0.5000  4 Lu 3.40, 8 Ho 3.41
Lu1 0.5000 0.0000 0.0000  4 Pb 3.40, 8 Ho 3.41

Output
- DFT total energy: -18.4 eV for the cell shown
- Space group: P4/mmm (123)
- Energy relative to the elements: -0.2490 eV/atom


(12)
## CsRb2ZnIn (PBE)

Data for a relaxed CsRb2ZnIn crystal.

a = 7.0380 Å, b = 7.0380 Å, c = 5.4925 Å
α = 90.00°, β = 90.00°, γ = 90.00°
Last column: nearest neighbours and their distance in Å.
Fractional coordinates of all 5 atoms:
Zn1 0.0000 0.0000 0.0000  2 In 2.75
Cs1 0.5000 0.5000 0.5000  8 Rb 4.46, 4 In 4.98
In1 0.0000 0.0000 0.5000  2 Zn 2.75
Rb1 0.5000 0.0000 0.0000  2 Zn 3.52
Rb2 0.0000 0.5000 0.0000  2 Zn 3.52

Output
- DFT total energy: -6.3 eV for the cell shown
- Space group: P4/mmm (123)
- Energy relative to the elements: 0.0912 eV/atom


(13)
## TaTeRh2 (PBE)

Data for a relaxed TaTeRh2 crystal.

a = 4.8265 Å, b = 4.8265 Å, c = 2.9950 Å
α = 90.00°, β = 90.00°, γ = 90.00°
Last column: nearest neighbours and their distance in Å.
Fractional coordinates of all 4 atoms:
Rh1 0.5000 0.0000 0.0000  4 Te 2.84, 4 Ta 2.84, 2 Rh 2.99
Rh2 0.0000 0.5000 0.0000  4 Te 2.84, 4 Ta 2.84, 2 Rh 2.99
Te1 0.0000 0.0000 0.5000  8 Rh 2.84, 2 Te 2.99
Ta1 0.5000 0.5000 0.5000  8 Rh 2.84, 2 Ta 2.99

Output
- DFT total energy: -29.6 eV for the cell shown
- E_form (uncorrected): 0.110 eV/f.u.
- Space group: P4/mmm (123)


(14)
## PmPr2Cd (PBE)

Data for a relaxed PmPr2Cd crystal.

a = 3.7674 Å, b = 3.7674 Å, c = 9.1179 Å
α = 90.00°, β = 90.00°, γ = 90.00°
Last column: nearest neighbours and their distance in Å.
Fractional coordinates of all 4 atoms:
Cd1 0.5000 0.5000 0.0000  8 Pr 3.36
Pr1 0.0000 0.0000 0.7756  4 Cd 3.36, 4 Pm 3.66
Pr2 0.0000 0.0000 0.2244  4 Cd 3.36, 4 Pm 3.66
Pm1 0.5000 0.5000 0.5000  8 Pr 3.66, 4 Pm 3.77

Output
- DFT total energy: -15.8 eV for the cell shown
- Space group: P4/mmm (123)
- Energy relative to the elements: -0.1479 eV/atom


(15)
## Th2PRh6Pb (PBE)

Data for a relaxed Th2PRh6Pb crystal.

a = 5.7455 Å, b = 8.0989 Å, c = 8.7415 Å
α = 90.00°, β = 90.00°, γ = 90.00°
Last column: nearest neighbours and their distance in Å.
Fractional coordinates of all 20 atoms:
Rh1 0.0000 0.8929 0.2472  1 P 2.30
Rh2 0.7541 0.9858 0.5000  1 P 2.29
Rh3 0.7459 0.0142 0.0000  1 P 2.29
Rh4 0.2459 0.9858 0.5000  1 P 2.29
Rh5 0.2560 0.5889 0.0000  1 P 2.23
Rh6 0.5000 0.1071 0.2528  1 P 2.30
Rh7 0.2541 0.0142 0.0000  1 P 2.29
Rh8 0.2440 0.4111 0.5000  1 P 2.23
Rh9 0.7440 0.5889 0.0000  1 P 2.23
Rh10 0.0000 0.8929 0.7528  1 P 2.30
Rh11 0.7560 0.4111 0.5000  1 P 2.23
Rh12 0.5000 0.1071 0.7472  1 P 2.30
Th1 0.5000 0.7560 0.7554  5 Rh 2.84-3.08
Th2 0.0000 0.2440 0.2554  5 Rh 2.84-3.08
Th3 0.5000 0.7560 0.2446  5 Rh 2.84-3.08
Th4 0.0000 0.2440 0.7446  5 Rh 2.84-3.08
Pb1 0.0000 0.6907 0.5000  6 Rh 2.66-2.78
Pb2 0.5000 0.3093 0.0000  6 Rh 2.66-2.78
P1 0.5000 0.2041 0.5000  6 Rh 2.23-2.30
P2 0.0000 0.7959 0.0000  6 Rh 2.23-2.30

Output
- DFT total energy: -149.3 eV for the cell shown
- Space group: Pmmn (59)
- Energy relative to the elements: -0.6581 eV/atom


(16)
## UHgPdPt (PBE)

Data for a relaxed UHgPdPt crystal.

a = 4.8230 Å, b = 4.8230 Å, c = 4.8230 Å
α = 60.00°, β = 60.00°, γ = 60.00°
Last column: nearest neighbours and their distance in Å.
Fractional coordinates of all 4 atoms:
U1 0.5000 0.5000 0.5000  4 Pt 2.95, 4 Pd 2.95
Pd1 0.2500 0.2500 0.2500  4 Hg 2.95, 4 U 2.95
Pt1 0.7500 0.7500 0.7500  4 Hg 2.95, 4 U 2.95
Hg1 0.0000 0.0000 0.0000  4 Pd 2.95, 4 Pt 2.95

Output
- DFT total energy: -24.2 eV for the cell shown
- Space group: F-43m (216)
- Energy relative to the elements: -0.3524 eV/atom


(17)
## HgCIO2 (PBE)

Data for a relaxed HgCIO2 crystal.

a = 4.0039 Å, b = 4.0039 Å, c = 8.0056 Å
α = 90.00°, β = 90.00°, γ = 90.00°
Last column: nearest neighbours and their distance in Å.
Fractional coordinates of all 5 atoms:
I1 0.0000 0.0000 0.5000  4 C 2.83
O1 0.0000 0.5000 0.0000  2 Hg 2.00
O2 0.5000 0.0000 0.0000  2 Hg 2.00
C1 0.5000 0.5000 0.5000  4 I 2.83
Hg1 0.0000 0.0000 0.0000  4 O 2.00

Output
- DFT total energy: -12.9 eV for the cell shown
- E_form (uncorrected): 8.078 eV/f.u.
- Space group: P4/mmm (123)


(18)
## KLi2As (PBE)

Data for a relaxed KLi2As crystal.

a = 4.4948 Å, b = 4.4948 Å, c = 6.4677 Å
α = 69.89°, β = 69.89°, γ = 60.00°
Last column: nearest neighbours and their distance in Å.
Fractional coordinates of all 4 atoms:
Li1 0.7609 0.7609 0.7177  3 As 2.59-2.60, 3 Li 2.63
Li2 0.0693 0.0693 0.7936  3 Li 2.63, 3 As 2.64
As1 0.4301 0.4301 0.7104  6 Li 2.59-2.64
K1 0.2397 0.2397 0.2784  1 Li 3.06, 1 As 3.37

Output
- DFT total energy: -11.9 eV for the cell shown
- Space group: Cm (8)
- Energy relative to the elements: -0.5762 eV/atom


(19)
## Te2PtN (PBE)

Data for a relaxed Te2PtN crystal.

a = 5.5699 Å, b = 5.5699 Å, c = 7.1024 Å
α = 66.91°, β = 66.91°, γ = 90.00°
Last column: nearest neighbours and their distance in Å.
Fractional coordinates of all 8 atoms:
N1 0.5000 0.5000 0.0000  4 Te 2.34
N2 0.2500 0.7500 0.5000  4 Te 2.34
Te1 0.5854 0.1250 0.2500  2 N 2.34, 2 Pt 2.59
Te2 0.1646 0.6250 0.2500  2 N 2.34, 2 Pt 2.59
Te3 0.8750 0.8354 0.7500  2 N 2.34, 2 Pt 2.59
Te4 0.3750 0.4146 0.7500  2 N 2.34, 2 Pt 2.59
Pt1 0.7500 0.2500 0.5000  4 Te 2.59
Pt2 0.0000 0.0000 0.0000  4 Te 2.59

Output
- DFT total energy: -36.9 eV for the cell shown
- E_form (uncorrected): 2.203 eV/f.u.
- Space group: I-42d (122)


(20)
## AgBr (PBE)

Data for a relaxed AgBr crystal.

a = 5.5376 Å, b = 5.5376 Å, c = 7.9661 Å
α = 90.00°, β = 90.00°, γ = 120.00°
Last column: nearest neighbours and their distance in Å.
Fractional coordinates of all 8 atoms:
Ag1 0.3333 0.6667 0.0809  1 Br 2.64, 1 Ag 2.69
Ag2 0.6667 0.3333 0.9190  1 Br 2.64, 1 Ag 2.69
Ag3 0.6667 0.3333 0.5810  1 Br 2.64, 1 Ag 2.69
Ag4 0.3333 0.6667 0.4190  1 Br 2.64, 1 Ag 2.69
Br1 0.0000 0.0000 0.7500  3 Br 3.20, 6 Ag 3.47
Br2 0.3333 0.6667 0.7500  2 Ag 2.64
Br3 0.0000 0.0000 0.2500  3 Br 3.20, 6 Ag 3.47
Br4 0.6667 0.3333 0.2500  2 Ag 2.64

Output
- DFT total energy: -16.5 eV for the cell shown
- E_form (uncorrected): 0.399 eV/f.u.
- Space group: P6_3/mmc (194)